Zn2NiPd5Au2: relaxed, PBE. Values from VASP.

The structure in Quantum ESPRESSO input format:
```
&SYSTEM
  ibrav = 0, nat = 20, ntyp = 4
/
ATOMIC_SPECIES
Zn 65.41 Zn.upf
Ni 58.69 Ni.upf
Pd 106.42 Pd.upf
Au 196.97 Au.upf
CELL_PARAMETERS angstrom
3.776 0.000 0.000
0.000 9.180 0.000
0.000 0.000 9.180
ATOMIC_POSITIONS crystal
Zn 0.000 0.130 0.630
Zn 0.000 0.870 0.370
Zn 0.000 0.630 0.870
Zn 0.000 0.370 0.130
Ni 0.000 0.000 0.000
Ni 0.000 0.500 0.500
Pd 0.500 0.191 0.083
Pd 0.500 0.809 0.917
Pd 0.500 0.083 0.809
Pd 0.500 0.691 0.417
Pd 0.500 0.917 0.191
Pd 0.500 0.309 0.583
Pd 0.500 0.583 0.691
Pd 0.500 0.417 0.309
Pd 0.500 0.500 0.000
Pd 0.500 0.000 0.500
Au 0.000 0.668 0.168
Au 0.000 0.332 0.832
Au 0.000 0.168 0.332
Au 0.000 0.832 0.668
```

Summary:
Theoretical density   11.64 g/cm³
M_tot   0.131 μB/atom
Crystal system   tetragonal
Density of states at the Fermi level   10.2 states/eV/f.u.
ΔH_f (0 K)   -89.9 meV per atom